First-principles (PBE) data for Hf4FeBi2 after structural relaxation, as listed in Alexandria.

Properties
* ΔE_f: -202 kJ/mol of formula units
* energy above the lowest structure with this stoichiometry: 0 meV/atom
* space-group type: No. 140
* spin magnetization: 0.0 μB/f.u.

a b c (Å): 8.219 8.219 8.219
angles (deg): 95.93 95.93 142.50
Fractional positions:
Hf 0.082 0.807 0.889
Hf 0.193 0.082 0.274
Hf 0.307 0.582 0.889
Hf 0.418 0.307 0.726
Hf 0.582 0.693 0.274
Hf 0.693 0.418 0.111
Hf 0.807 0.918 0.726
Hf 0.918 0.193 0.111
Fe 0.250 0.250 0.000
Fe 0.750 0.750 0.000
Bi 0.136 0.364 0.500
Bi 0.364 0.864 0.227
Bi 0.636 0.136 0.773
Bi 0.864 0.636 0.500